[1]
Computed, not measured: a geometry-optimized BeTcAs3 structure at the PBE-GGA level of DFT.

As for the electronic total energy: -4.74 eV per atom. As for the crystal system: cubic. The value obtained for the magnetization is 2.1 μB per cell. For the formation energy, the calculation gives 866 meV per atom.

The structure belongs to space group Pm-3m (No. 221); the cell edges are 4.424, 4.424 and 4.424 Å and the angles 90.00°, 90.00° and 90.00°. The inequivalent atoms are Be at (0.000, 0.000, 0.000), Tc at (0.500, 0.500, 0.500) and As at (0.000, 0.000, 0.500).

[2]
Computed, not measured: a geometry-optimized La2Pr2Tm5 structure at the PBE-GGA level of DFT.

The energy above the most stable polymorph in this dataset comes out at 48 meV per atom. As for the electronic total energy: -4.45 eV per atom. As for the crystal system: orthorhombic. The value obtained for the magnetization is 0.0 μB per cell. For the formation energy, the calculation gives 195 meV per atom.

The structure belongs to space group Ima2 (No. 46); the cell edges are 15.039, 11.975 and 6.750 Å and the angles 90.00°, 90.00° and 90.00°. The inequivalent atoms are La at (0.127, 0.001, 0.000), Pr at (0.000, 0.000, 0.455), Pr at (0.250, 0.509, 0.047), Tm at (0.053, 0.243, 0.641), Tm at (0.142, 0.732, 0.832) and Tm at (0.250, 0.243, 0.851).

[3]
Computed, not measured: a geometry-optimized RbBaNiH4 structure at the PBE-GGA level of DFT.

As for the electronic total energy: -3.34 eV per atom. As for the crystal system: orthorhombic. The value obtained for the magnetization is 1.8 μB per cell.

The structure belongs to space group Cmcm (No. 63); the cell edges are 5.366, 15.834 and 5.234 Å and the angles 90.00°, 90.00° and 90.00°. The inequivalent atoms are Rb at (0.000, 0.104, 0.250), Ba at (0.000, 0.376, 0.250), Ni at (0.000, 0.235, 0.750), H at (0.000, 0.130, 0.750), H at (0.000, 0.448, 0.750) and H at (0.250, 0.250, 0.000).

[4]
Computed, not measured: a geometry-optimized MnFeCl2 structure at the PBE-GGA level of DFT.

The energy above the most stable polymorph in this dataset comes out at 143 meV per atom. As for the electronic total energy: -5.55 eV per atom. As for the crystal system: monoclinic. The value obtained for the magnetization is 14.0 μB per cell. The calculation puts the formation energy (no corrections) at -0.22 eV per atom.

The structure belongs to space group C2/m (No. 12); the cell edges are 12.468, 3.595 and 3.842 Å and the angles 90.00°, 105.05° and 90.00°. The inequivalent atoms are Mn at (0.000, 0.000, 0.000), Fe at (0.000, 0.500, 0.500) and Cl at (0.137, 0.000, 0.639).

[5]
Computed, not measured: a geometry-optimized TiBeCo structure at the PBE-GGA level of DFT.

The energy above the most stable polymorph in this dataset comes out at 410 meV per atom. As for the electronic total energy: -6.18 eV per atom. As for the crystal system: orthorhombic. The value obtained for the magnetization is 0.0 μB per cell. For the formation energy, the calculation gives 67 meV per atom.

The structure belongs to space group Fmmm (No. 69); the cell edges are 5.418, 6.522 and 8.541 Å and the angles 90.00°, 90.00° and 90.00°. The inequivalent atoms are Ti at (0.000, 0.000, 0.235), Be at (0.198, 0.000, 0.500) and Co at (0.000, 0.213, 0.000).

[6]
Computed, not measured: a geometry-optimized Ag4SeClF structure at the PBE-GGA level of DFT.

As for the electronic total energy: -3.04 eV per atom. As for the crystal system: monoclinic. The value obtained for the magnetization is 0.0 μB per cell. The calculation puts the formation energy (no corrections) at -0.39 eV per atom.

The structure belongs to space group P2_1/m (No. 11); the cell edges are 6.793, 5.930 and 7.813 Å and the angles 90.00°, 114.22° and 90.00°. The inequivalent atoms are Ag at (0.123, 0.008, 0.208), Ag at (0.217, 0.250, 0.575), Ag at (0.304, 0.750, 0.935), Se at (0.254, 0.250, 0.979), Cl at (0.186, 0.750, 0.552) and F at (0.429, 0.750, 0.288).

[7]
Computed, not measured: a geometry-optimized TaBe2Os structure at the PBE-GGA level of DFT.

The energy above the most stable polymorph in this dataset comes out at 321 meV per atom. As for the electronic total energy: -7.61 eV per atom. As for the crystal system: tetragonal. The value obtained for the magnetization is 0.0 μB per cell. For the formation energy, the calculation gives 20 meV per atom.

The structure belongs to space group P4/mmm (No. 123); the cell edges are 3.872, 3.872 and 3.297 Å and the angles 90.00°, 90.00° and 90.00°. The inequivalent atoms are Ta at (0.000, 0.000, 0.000), Be at (0.000, 0.500, 0.500) and Os at (0.500, 0.500, 0.000).

[8]
Computed, not measured: a geometry-optimized MnCrPb2 structure at the PBE-GGA level of DFT.

The energy above the most stable polymorph in this dataset comes out at 167 meV per atom. As for the electronic total energy: -6.07 eV per atom. As for the crystal system: trigonal. The value obtained for the magnetization is 0.3 μB per cell. For the formation energy, the calculation gives 483 meV per atom.

The structure belongs to space group R3m (No. 160, hexagonal axes); the cell edges are 3.2348, 3.2348 and 30.4647 Å and the angles 90.00°, 90.00° and 120.00°. The inequivalent atoms are Mn at (0.0000, 0.0000, 0.0000), Cr at (0.0000, 0.0000, 0.7183), Pb at (0.0000, 0.0000, 0.2499) and Pb at (0.0000, 0.0000, 0.4694).

[9]
Computed, not measured: a geometry-optimized Sm2Ga6Ru structure at the PBE-GGA level of DFT.

The energy above the most stable polymorph in this dataset comes out at 58 meV per atom. As for the electronic total energy: -4.62 eV per atom. As for the crystal system: trigonal. The value obtained for the magnetization is 0.0 μB per cell. For the formation energy, the calculation gives -525 meV per atom.

The structure belongs to space group P-3m1 (No. 164); the cell edges are 5.9444, 5.9444 and 5.6575 Å and the angles 90.00°, 90.00° and 120.00°. The inequivalent atoms are Sm at (0.3333, 0.6667, 0.1732), Ga at (0.1749, 0.3498, 0.6831) and Ru at (0.0000, 0.0000, 0.0000).

[10]
Computed, not measured: a geometry-optimized TbAg2BO4 structure at the PBE-GGA level of DFT.

As for the electronic total energy: -6.24 eV per atom. As for the crystal system: tetragonal. The value obtained for the magnetization is 0.0 μB per cell. The calculation puts the formation energy (no corrections) at -1.63 eV per atom.

The structure belongs to space group I-42m (No. 121); the cell edges are 5.957, 5.957 and 5.562 Å and the angles 90.00°, 90.00° and 90.00°. The inequivalent atoms are Tb at (0.000, 0.000, 0.000), Ag at (0.000, 0.500, 0.000), B at (0.000, 0.000, 0.500) and O at (0.146, 0.146, 0.342).

[11]
Computed, not measured: a geometry-optimized Ta4ReRh structure at the PBE-GGA level of DFT.

As for the electronic total energy: -10.81 eV per atom. As for the crystal system: cubic. The value obtained for the magnetization is 0.0 μB per cell. For the formation energy, the calculation gives 389 meV per atom.

The structure belongs to space group F-43m (No. 216); the cell edges are 7.507, 7.507 and 7.507 Å and the angles 90.00°, 90.00° and 90.00°. The inequivalent atoms are Ta at (0.124, 0.124, 0.124), Re at (0.250, 0.250, 0.750) and Rh at (0.000, 0.000, 0.500).

[12]
Computed, not measured: a geometry-optimized Cs3Rb3Ba structure at the PBE-GGA level of DFT.

As for the electronic total energy: -0.65 eV per atom. As for the crystal system: cubic. The value obtained for the magnetization is 0.0 μB per cell. For the formation energy, the calculation gives 402 meV per atom.

The structure belongs to space group Pm-3n (No. 223); the cell edges are 12.076, 12.076 and 12.076 Å and the angles 90.00°, 90.00° and 90.00°. The inequivalent atoms are Cs at (0.000, 0.250, 0.500), Rb at (0.000, 0.500, 0.250) and Ba at (0.000, 0.000, 0.000).

[13]
Computed, not measured: a geometry-optimized ZrMoP3 structure at the PBE-GGA level of DFT.

The energy above the most stable polymorph in this dataset comes out at 0 meV per atom. As for the electronic total energy: -6.75 eV per atom. As for the crystal system: cubic. The value obtained for the magnetization is 0.7 μB per cell. For the formation energy, the calculation gives 370 meV per atom.

The structure belongs to space group Pm-3m (No. 221); the cell edges are 4.650, 4.650 and 4.650 Å and the angles 90.00°, 90.00° and 90.00°. The inequivalent atoms are Zr at (0.000, 0.000, 0.000), Mo at (0.500, 0.500, 0.500) and P at (0.000, 0.500, 0.500).

[14]
Computed, not measured: a geometry-optimized ScZnWI2 structure at the PBE-GGA level of DFT.

As for the electronic total energy: -3.48 eV per atom. As for the crystal system: tetragonal. The value obtained for the magnetization is 2.9 μB per cell. The calculation puts the formation energy (no corrections) at 1.25 eV per atom.

The structure belongs to space group P4/mmm (No. 123); the cell edges are 5.397, 5.397 and 5.068 Å and the angles 90.00°, 90.00° and 90.00°. The inequivalent atoms are Sc at (0.000, 0.000, 0.000), Zn at (0.500, 0.500, 0.500), W at (0.500, 0.500, 0.000) and I at (0.000, 0.500, 0.500).

[15]
Computed, not measured: a geometry-optimized NdTmSbSe structure at the PBE-GGA level of DFT.

As for the electronic total energy: -5.59 eV per atom. As for the crystal system: tetragonal. The value obtained for the magnetization is 0.0 μB per cell. The calculation puts the formation energy (no corrections) at -1.38 eV per atom.

The structure belongs to space group P4/mmm (No. 123); the cell edges are 4.329, 4.329 and 6.020 Å and the angles 90.00°, 90.00° and 90.00°. The inequivalent atoms are Nd at (0.000, 0.000, 0.000), Tm at (0.500, 0.500, 0.500), Sb at (0.500, 0.500, 0.000) and Se at (0.000, 0.000, 0.500).